An optimized crystal structure of PmNd3Zn4. Source: the Alexandria database, functional GGA-PBE.

As for the final energy: -3.329 eV/atom.

It has space group Pmma (No. 51), with a = 10.384 Å, b = 7.378 Å, c = 5.192 Å, α = 90.00°, β = 90.00° and γ = 90.00°. Symmetry generates all atoms from Pm at (0.000, 0.000, 0.000), Nd at (0.000, 0.500, 0.000), Nd at (0.250, 0.000, 0.499), Nd at (0.250, 0.500, 0.499), Zn at (0.000, 0.249, 0.500) and Zn at (0.250, 0.249, 0.998).

An optimized crystal structure of Pm3Nd2Zn2. Source: the Alexandria database, functional GGA-PBE.

The value obtained for the energy above the most stable polymorph in this dataset is 0.0000 eV per atom.

It has space group C2/m (No. 12), with a = 13.041 Å, b = 3.772 Å, c = 9.469 Å, α = 90.00°, β = 116.13° and γ = 90.00°. Symmetry generates all atoms from Pm at (0.000, 0.000, 0.000), Pm at (0.112, 0.000, 0.441), Nd at (0.153, 0.500, 0.815) and Zn at (0.174, 0.500, 0.229).

An optimized crystal structure of Pm4NdZn4. Source: the Alexandria database, functional GGA-PBE.

As for the final energy: -3.348 eV/atom.

It has space group I4/m (No. 87), with a = 9.722 Å, b = 9.722 Å, c = 5.195 Å, α = 90.00°, β = 90.00° and γ = 90.00°. Symmetry generates all atoms from Pm at (0.111, 0.345, 0.000), Nd at (0.000, 0.000, 0.000) and Zn at (0.075, 0.177, 0.500).

An optimized crystal structure of PmNd2Zn6. Source: the Alexandria database, functional GGA-PBE.

As for the final energy: -2.788 eV/atom.

It has space group P6/mmm (No. 191), with a = 7.9151 Å, b = 7.9151 Å, c = 3.6219 Å, α = 90.00°, β = 90.00° and γ = 120.00°. Symmetry generates all atoms from Pm at (0.0000, 0.0000, 0.0000), Nd at (0.3333, 0.6667, 0.0000) and Zn at (0.0000, 0.3325, 0.5000).

An optimized crystal structure of Pm5NdZn4. Source: the Alexandria database, functional GGA-PBE.

As for the final energy: -3.613 eV/atom.

It has space group P4/mmm (No. 123), with a = 3.660 Å, b = 3.660 Å, c = 19.844 Å, α = 90.00°, β = 90.00° and γ = 90.00°. Symmetry generates all atoms from Pm at (0.000, 0.000, 0.000), Pm at (0.000, 0.000, 0.183), Pm at (0.000, 0.000, 0.367), Nd at (0.500, 0.500, 0.500), Zn at (0.500, 0.500, 0.093) and Zn at (0.500, 0.500, 0.276).

An optimized crystal structure of Pm2Nd3Zn3. Source: the Alexandria database, functional GGA-PBE.

As for the final energy: -3.675 eV/atom.

It has space group Immm (No. 71), with a = 3.733 Å, b = 5.340 Å, c = 22.019 Å, α = 90.00°, β = 90.00° and γ = 90.00°. Symmetry generates all atoms from Pm at (0.000, 0.000, 0.229), Nd at (0.000, 0.000, 0.000), Nd at (0.000, 0.500, 0.117), Zn at (0.000, 0.000, 0.500) and Zn at (0.000, 0.500, 0.384).

An optimized crystal structure of Pm2Nd2Zn3. Source: the Alexandria database, functional GGA-PBE.

As for the final energy: -3.442 eV/atom.

It has space group C2/m (No. 12), with a = 8.962 Å, b = 5.157 Å, c = 8.812 Å, α = 90.00°, β = 110.12° and γ = 90.00°. Symmetry generates all atoms from Pm at (0.128, 0.000, 0.383), Nd at (0.120, 0.500, 0.861), Zn at (0.000, 0.000, 0.000) and Zn at (0.248, 0.500, 0.243).

An optimized crystal structure of Pm8Nd2Zn. Source: the Alexandria database, functional GGA-PBE.

The value obtained for the energy above the most stable polymorph in this dataset is 0.0641 eV per atom.

It has space group C2/m (No. 12), with a = 18.011 Å, b = 5.664 Å, c = 7.546 Å, α = 90.00°, β = 109.15° and γ = 90.00°. Symmetry generates all atoms from Pm at (0.013, 0.000, 0.277), Pm at (0.103, 0.500, 0.922), Pm at (0.156, 0.500, 0.435), Pm at (0.185, 0.000, 0.728), Nd at (0.185, 0.000, 0.169) and Zn at (0.000, 0.500, 0.500).

An optimized crystal structure of Pm6NdZn. Source: the Alexandria database, functional GGA-PBE.

As for the final energy: -4.117 eV/atom.

It has space group C2/m (No. 12), with a = 6.896 Å, b = 12.265 Å, c = 6.884 Å, α = 90.00°, β = 115.67° and γ = 90.00°. Symmetry generates all atoms from Pm at (0.033, 0.221, 0.247), Pm at (0.052, 0.500, 0.768), Nd at (0.000, 0.000, 0.500) and Zn at (0.000, 0.000, 0.000).

An optimized crystal structure of PmNd3Zn2. Source: the Alexandria database, functional GGA-PBE.

The value obtained for the energy above the most stable polymorph in this dataset is 0.2578 eV per atom.

It has space group Ibam (No. 72), with a = 7.049 Å, b = 14.914 Å, c = 7.291 Å, α = 90.00°, β = 90.00° and γ = 90.00°. Symmetry generates all atoms from Pm at (0.000, 0.000, 0.000), Nd at (0.000, 0.226, 0.250), Nd at (0.000, 0.500, 0.250) and Zn at (0.203, 0.362, 0.000).

An optimized crystal structure of PmNd2Zn9. Source: the Alexandria database, functional GGA-PBE.

As for the final energy: -2.446 eV/atom.

It has space group R-3m (No. 166, hexagonal axes), with a = 5.5219 Å, b = 5.5219 Å, c = 26.2831 Å, α = 90.00°, β = 90.00° and γ = 120.00°. Symmetry generates all atoms from Pm at (0.0000, 0.0000, 0.0000), Nd at (0.0000, 0.0000, 0.1409), Zn at (0.0000, 0.0000, 0.3348), Zn at (0.0000, 0.0000, 0.5000) and Zn at (0.0039, 0.5019, 0.9192).

An optimized crystal structure of Pm4Nd9Zn11. Source: the Alexandria database, functional GGA-PBE.

As for the final energy: -3.396 eV/atom.

It has space group Cmmm (No. 65), with a = 15.578 Å, b = 21.964 Å, c = 3.581 Å, α = 90.00°, β = 90.00° and γ = 90.00°. Symmetry generates all atoms from Pm at (0.162, 0.090, 0.000), Nd at (0.000, 0.000, 0.000), Nd at (0.116, 0.238, 0.000), Nd at (0.116, 0.411, 0.000), Zn at (0.000, 0.133, 0.500), Zn at (0.000, 0.327, 0.500), Zn at (0.000, 0.500, 0.500), Zn at (0.229, 0.500, 0.500) and Zn at (0.235, 0.319, 0.500).

An optimized crystal structure of Pm4Nd5Zn. Source: the Alexandria database, functional GGA-PBE.

As for the final energy: -4.464 eV/atom.

It has space group P4/mmm (No. 123), with a = 3.682 Å, b = 3.682 Å, c = 24.336 Å, α = 90.00°, β = 90.00° and γ = 90.00°. Symmetry generates all atoms from Pm at (0.000, 0.000, 0.106), Pm at (0.000, 0.000, 0.318), Nd at (0.500, 0.500, 0.000), Nd at (0.500, 0.500, 0.213), Nd at (0.500, 0.500, 0.425) and Zn at (0.000, 0.000, 0.500).

An optimized crystal structure of Pm2NdZn3. Source: the Alexandria database, functional GGA-PBE.

The value obtained for the energy above the most stable polymorph in this dataset is 0.0058 eV per atom.

It has space group P4/mmm (No. 123), with a = 3.668 Å, b = 3.668 Å, c = 11.024 Å, α = 90.00°, β = 90.00° and γ = 90.00°. Symmetry generates all atoms from Pm at (0.000, 0.000, 0.166), Nd at (0.000, 0.000, 0.500), Zn at (0.500, 0.500, 0.000) and Zn at (0.500, 0.500, 0.331).

An optimized crystal structure of Pm2NdZn6. Source: the Alexandria database, functional GGA-PBE.

As for the final energy: -2.789 eV/atom.

It has space group P6/mmm (No. 191), with a = 7.9040 Å, b = 7.9040 Å, c = 3.6108 Å, α = 90.00°, β = 90.00° and γ = 120.00°. Symmetry generates all atoms from Pm at (0.3333, 0.6667, 0.0000), Nd at (0.0000, 0.0000, 0.0000) and Zn at (0.0000, 0.3341, 0.5000).

An optimized crystal structure of Pm2NdZn. Source: the Alexandria database, functional GGA-PBE.

The value obtained for the energy above the most stable polymorph in this dataset is 0.2216 eV per atom.

It has space group Fm-3m (No. 225), with a = 7.741 Å, b = 7.741 Å, c = 7.741 Å, α = 90.00°, β = 90.00° and γ = 90.00°. Symmetry generates all atoms from Pm at (0.250, 0.250, 0.250), Nd at (0.000, 0.000, 0.000) and Zn at (0.000, 0.000, 0.500).

An optimized crystal structure of PmNdZn. Source: the Alexandria database, functional GGA-PBE.

The value obtained for the energy above the most stable polymorph in this dataset is 0.1423 eV per atom.

It has space group P3m1 (No. 156), with a = 5.0505 Å, b = 5.0505 Å, c = 3.7860 Å, α = 90.00°, β = 90.00° and γ = 120.00°. Symmetry generates all atoms from Pm at (0.0000, 0.0000, 0.0000), Nd at (0.3333, 0.6667, 0.4333) and Zn at (0.6667, 0.3333, 0.7249).

An optimized crystal structure of Pm8Nd2Zn. Source: the Alexandria database, functional GGA-PBE.

The value obtained for the energy above the most stable polymorph in this dataset is 0.0000 eV per atom.

It has space group C2/m (No. 12), with a = 19.425 Å, b = 5.694 Å, c = 6.562 Å, α = 90.00°, β = 93.34° and γ = 90.00°. Symmetry generates all atoms from Pm at (0.039, 0.000, 0.252), Pm at (0.078, 0.500, 0.609), Pm at (0.154, 0.500, 0.119), Pm at (0.155, 0.000, 0.809), Nd at (0.237, 0.000, 0.332) and Zn at (0.000, 0.500, 0.000).

An optimized crystal structure of Pm6Nd2Zn. Source: the Alexandria database, functional GGA-PBE.

The value obtained for the energy above the most stable polymorph in this dataset is 0.0540 eV per atom.

It has space group Pnnm (No. 58), with a = 10.013 Å, b = 10.474 Å, c = 5.560 Å, α = 90.00°, β = 90.00° and γ = 90.00°. Symmetry generates all atoms from Pm at (0.014, 0.193, 0.000), Pm at (0.135, 0.603, 0.500), Pm at (0.192, 0.927, 0.500), Nd at (0.187, 0.251, 0.500) and Zn at (0.000, 0.500, 0.000).

An optimized crystal structure of PmNdZn4. Source: the Alexandria database, functional GGA-PBE.

The value obtained for the energy above the most stable polymorph in this dataset is 0.0000 eV per atom.

It has space group Immm (No. 71), with a = 4.574 Å, b = 7.200 Å, c = 7.916 Å, α = 90.00°, β = 90.00° and γ = 90.00°. Symmetry generates all atoms from Pm at (0.000, 0.000, 0.000), Nd at (0.000, 0.500, 0.000) and Zn at (0.000, 0.252, 0.333).

no.,magnetization (μB per formula unit),V (Å³ per cell)
1,0.000,397.8
2,0.000,418.2
3,0.000,491.0
4,0.001,196.5
5,0.001,265.8
6,0.000,438.9
7,0.000,382.4
8,0.000,727.2
9,0.001,524.8
10,0.004,766.4
11,0.000,694.0
12,0.000,1225.3
13,0.000,329.9
14,0.001,148.3
15,0.000,195.4
16,0.000,463.9
17,0.000,83.6
18,0.000,724.5
19,0.000,583.1
20,0.003,260.7